1.
# DyCd3

DyCd3 after structural relaxation (GGA-PBE, the Open Quantum Materials Database).

## Properties
The calculation puts the formation energy at -290 meV per atom.

Geometry as CIF:
```
data_DyCd3
_chemical_formula_sum 'Dy4 Cd12'
_cell_length_a 7.1614
_cell_length_b 10.7409
_cell_length_c 4.8454
_cell_angle_alpha 90.00
_cell_angle_beta 90.00
_cell_angle_gamma 90.00
_space_group_name_H-M_alt 'C m c m'
_space_group_IT_number 63
_space_group_name_Hall '-C 2c 2'
loop_
_atom_site_label
_atom_site_type_symbol
_atom_site_fract_x
_atom_site_fract_y
_atom_site_fract_z
Dy1 Dy 0.0000 0.1327 0.2500
Cd1 Cd 0.0000 0.3233 0.7500
Cd2 Cd 0.2148 0.4041 0.2500
```

2.
# RbPmSn

RbPmSn after structural relaxation (GGA-PBE, the Open Quantum Materials Database).

## Properties
The value obtained for the total energy is -37.445 eV/cell.

Geometry as CIF:
```
data_RbPmSn
_chemical_formula_sum 'Rb4 Pm4 Sn4'
_cell_length_a 7.7065
_cell_length_b 7.7065
_cell_length_c 7.7065
_cell_angle_alpha 90.00
_cell_angle_beta 90.00
_cell_angle_gamma 90.00
_space_group_name_H-M_alt 'F -4 3 m'
_space_group_IT_number 216
_space_group_name_Hall 'F -4 2 3'
loop_
_atom_site_label
_atom_site_type_symbol
_atom_site_fract_x
_atom_site_fract_y
_atom_site_fract_z
Rb1 Rb 0.0000 0.0000 0.0000
Pm1 Pm 0.2500 0.2500 0.2500
Sn1 Sn 0.0000 0.0000 0.5000
```

Q: Which calculated volume values were calculated for the entries above? A: 93.2, 114.4, in Å³/f.u..
Q: Which total magnetic moment values were calculated for the entries above? A: 0.00, 0.00, in Bohr magnetons per cell.